(1)
## PuInS4 (PBE)

Data for an optimized crystal structure of PuInS4.

abc: 8.780 10.071 7.956
angles: 90.00 90.00 90.00
Space group Cmcm (No. 63)
Unique sites:
Pu1 0.000 0.020 0.250 [4 per cell]
In1 0.000 0.344 0.750 [4 per cell]
S1 0.000 0.175 0.516 [8 per cell]
S2 0.212 0.497 0.250 [8 per cell]

Properties
* DOS(E_F): 22.1 states/eV/cell
* uncorrected energy: -6.239 eV/atom



(2)
## Mg4ScTl5 (PBE)

Data for an optimized crystal structure of Mg4ScTl5.

abc: 3.648 3.648 18.276
angles: 90.00 90.00 90.00
Space group P4/mmm (No. 123)
Unique sites:
Mg1 0.000 0.000 0.101 [2 per cell]
Mg2 0.000 0.000 0.300 [2 per cell]
Sc1 0.000 0.000 0.500 [1 per cell]
Tl1 0.500 0.500 0.000 [1 per cell]
Tl2 0.500 0.500 0.201 [2 per cell]
Tl3 0.500 0.500 0.400 [2 per cell]

Properties
* DOS(E_F): 4.8 states/eV/cell
* energy of formation: -0.67 eV/f.u.
* uncorrected energy: -2.521 eV/atom



(3)
## Li3AlW (PBE)

Data for an optimized crystal structure of Li3AlW.

abc: 4.944 4.944 4.944
angles: 90.00 90.00 90.00
Space group Pm-3m (No. 221)
Unique sites:
Li1 0.000 0.000 0.500 [3 per cell]
Al1 0.500 0.500 0.500 [1 per cell]
W1 0.000 0.000 0.000 [1 per cell]

Properties
* energy above the most stable polymorph in this dataset: 184 meV/atom
* DOS(E_F): 2.9 states/eV/cell
* energy of formation: 7.62 eV/f.u.
* uncorrected energy: -2.964 eV/atom



(4)
## BeTl2W (PBE)

Data for an optimized crystal structure of BeTl2W.

abc: 6.789 6.789 6.789
angles: 90.00 90.00 90.00
Space group Fm-3m (No. 225)
Unique sites:
Be1 0.000 0.000 0.000 [4 per cell]
Tl1 0.250 0.250 0.250 [8 per cell]
W1 0.000 0.000 0.500 [4 per cell]

Properties
* energy above the most stable polymorph in this dataset: 705 meV/atom
* DOS(E_F): 15.5 states/eV/cell
* energy of formation: 5.53 eV/f.u.
* uncorrected energy: -3.971 eV/atom



(5)
## LiTl2SnI6 (PBE)

Data for an optimized crystal structure of LiTl2SnI6.

abc: 7.942 8.557 13.916
angles: 90.00 124.48 90.00
Space group P2_1/c (No. 14)
Unique sites:
Li1 0.000 0.000 0.000 [2 per cell]
Tl1 0.213 0.099 0.750 [4 per cell]
Sn1 0.500 0.000 0.500 [2 per cell]
I1 0.134 0.191 0.450 [4 per cell]
I2 0.269 0.690 0.454 [4 per cell]
I3 0.353 0.014 0.245 [4 per cell]

Properties
* DOS(E_F): 11.6 states/eV/cell
* uncorrected energy: -2.615 eV/atom



(6)
## SrHfMn2Bi (PBE)

Data for an optimized crystal structure of SrHfMn2Bi.

abc: 4.523 4.523 5.811
angles: 90.00 90.00 90.00
Space group P4/mmm (No. 123)
Unique sites:
Sr1 0.000 0.000 0.000 [1 per cell]
Hf1 0.500 0.500 0.500 [1 per cell]
Mn1 0.000 0.500 0.000 [2 per cell]
Bi1 0.000 0.000 0.500 [1 per cell]

Properties
* DOS(E_F): 7.6 states/eV/cell
* energy of formation: 10.95 eV/f.u.
* uncorrected energy: -4.580 eV/atom



(7)
## BeMo2Os (PBE)

Data for an optimized crystal structure of BeMo2Os.

abc: 2.802 2.802 6.981
angles: 90.00 90.00 90.00
Space group P4mm (No. 99)
Unique sites:
Be1 0.000 0.000 0.000 [1 per cell]
Mo1 0.000 0.000 0.552 [1 per cell]
Mo2 0.500 0.500 0.236 [1 per cell]
Os1 0.500 0.500 0.809 [1 per cell]

Properties
* DOS(E_F): 2.1 states/eV/cell
* energy of formation: 0.12 eV/f.u.
* uncorrected energy: -9.124 eV/atom



(8)
## Li3HgIr (PBE)

Data for an optimized crystal structure of Li3HgIr.

abc: 4.719 4.719 4.719
angles: 90.00 90.00 90.00
Space group Pm-3m (No. 221)
Unique sites:
Li1 0.000 0.000 0.500 [3 per cell]
Hg1 0.500 0.500 0.500 [1 per cell]
Ir1 0.000 0.000 0.000 [1 per cell]

Properties
* energy above the most stable polymorph in this dataset: 0 meV/atom
* DOS(E_F): 0.2 states/eV/cell
* energy of formation: 1.40 eV/f.u.
* uncorrected energy: -2.700 eV/atom



(9)
## CsRbRe2O8 (PBE)

Data for an optimized crystal structure of CsRbRe2O8.

abc: 11.564 6.558 7.808
angles: 90.00 114.44 90.00
Space group C2/m (No. 12)
Unique sites:
Cs1 0.000 0.000 0.000 [2 per cell]
Rb1 0.000 0.500 0.500 [2 per cell]
Re1 0.221 0.000 0.695 [4 per cell]
O1 0.113 0.500 0.224 [4 per cell]
O2 0.151 0.000 0.448 [4 per cell]
O3 0.171 0.218 0.776 [8 per cell]

Properties
* DOS(E_F): 0.0 states/eV/cell
* uncorrected energy: -7.406 eV/atom



(10)
## Ta3TcMo2 (PBE)

Data for an optimized crystal structure of Ta3TcMo2.

abc: 3.212 3.212 9.683
angles: 90.00 90.00 90.00
Space group P4/mmm (No. 123)
Unique sites:
Ta1 0.000 0.000 0.000 [1 per cell]
Ta2 0.000 0.000 0.336 [2 per cell]
Tc1 0.500 0.500 0.500 [1 per cell]
Mo1 0.500 0.500 0.168 [2 per cell]

Properties
* DOS(E_F): 3.0 states/eV/cell
* energy of formation: -1.82 eV/f.u.
* uncorrected energy: -11.568 eV/atom



(11)
## LiTcS2 (PBE)

Data for an optimized crystal structure of LiTcS2.

abc: 5.962 5.962 5.962
angles: 90.00 90.00 90.00
Space group Fm-3m (No. 225)
Unique sites:
Li1 0.000 0.000 0.000 [4 per cell]
Tc1 0.000 0.000 0.500 [4 per cell]
S1 0.250 0.250 0.250 [8 per cell]

Properties
* energy above the most stable polymorph in this dataset: 139 meV/atom
* DOS(E_F): 0.8 states/eV/cell
* uncorrected energy: -5.567 eV/atom



(12)
## PrGa8Cu2 (PBE)

Data for an optimized crystal structure of PrGa8Cu2.

abc: 6.436 6.436 5.461
angles: 90.00 90.00 90.00
Space group P4/mmm (No. 123)
Unique sites:
Pr1 0.000 0.000 0.000 [1 per cell]
Ga1 0.294 0.294 0.251 [8 per cell]
Cu1 0.000 0.500 0.500 [2 per cell]

Properties
* DOS(E_F): 5.6 states/eV/cell
* energy of formation: -0.01 eV/f.u.
* uncorrected energy: -3.382 eV/atom



(13)
## LaCu3Ge (PBE)

Data for an optimized crystal structure of LaCu3Ge.

abc: 4.620 4.620 4.620
angles: 90.00 90.00 90.00
Space group Pm-3m (No. 221)
Unique sites:
La1 0.000 0.000 0.000 [1 per cell]
Cu1 0.000 0.500 0.500 [3 per cell]
Ge1 0.500 0.500 0.500 [1 per cell]

Properties
* energy above the most stable polymorph in this dataset: 373 meV/atom
* DOS(E_F): 2.5 states/eV/cell
* energy of formation: 0.18 eV/f.u.
* uncorrected energy: -4.332 eV/atom



(14)
## HfTl2PRh (PBE)

Data for an optimized crystal structure of HfTl2PRh.

abc: 5.301 5.301 4.363
angles: 90.00 90.00 90.00
Space group P4/mmm (No. 123)
Unique sites:
Hf1 0.000 0.000 0.000 [1 per cell]
Tl1 0.000 0.500 0.500 [2 per cell]
P1 0.500 0.500 0.000 [1 per cell]
Rh1 0.500 0.500 0.500 [1 per cell]

Properties
* DOS(E_F): 2.7 states/eV/cell
* energy of formation: 2.92 eV/f.u.
* uncorrected energy: -4.905 eV/atom



(15)
## TbPm2Tl3 (PBE)

Data for an optimized crystal structure of TbPm2Tl3.

abc: 3.826 3.826 11.766
angles: 90.00 90.00 90.00
Space group P4/mmm (No. 123)
Unique sites:
Tb1 0.000 0.000 0.000 [1 per cell]
Pm1 0.000 0.000 0.330 [2 per cell]
Tl1 0.500 0.500 0.160 [2 per cell]
Tl2 0.500 0.500 0.500 [1 per cell]

Properties
* energy above the most stable polymorph in this dataset: 0 meV/atom
* DOS(E_F): 5.0 states/eV/cell
* energy of formation: -2.28 eV/f.u.
* uncorrected energy: -3.919 eV/atom



(16)
## La2TaMo (PBE)

Data for an optimized crystal structure of La2TaMo.

abc: 3.521 5.045 5.163
angles: 90.00 90.00 90.00
Space group Pmmm (No. 47)
Unique sites:
La1 0.000 0.000 0.000 [1 per cell]
La2 0.500 0.500 0.000 [1 per cell]
Ta1 0.000 0.500 0.500 [1 per cell]
Mo1 0.500 0.000 0.500 [1 per cell]

Properties
* energy above the most stable polymorph in this dataset: 475 meV/atom
* DOS(E_F): 5.8 states/eV/cell
* energy of formation: 2.83 eV/f.u.
* uncorrected energy: -7.427 eV/atom



(17)
## SrCd6In6 (PBE)

Data for an optimized crystal structure of SrCd6In6.

abc: 5.987 10.406 10.836
angles: 90.00 90.00 90.00
Space group Immm (No. 71)
Unique sites:
Sr1 0.000 0.000 0.000 [2 per cell]
Cd1 0.000 0.500 0.282 [4 per cell]
Cd2 0.250 0.250 0.250 [8 per cell]
In1 0.000 0.000 0.354 [4 per cell]
In2 0.000 0.304 0.500 [4 per cell]
In3 0.000 0.349 0.000 [4 per cell]

Properties
* DOS(E_F): 10.9 states/eV/cell
* energy of formation: -1.12 eV/f.u.
* uncorrected energy: -1.902 eV/atom



(18)
## BeFe2C (PBE)

Data for an optimized crystal structure of BeFe2C.

abc: 2.7344 2.7344 17.3027
angles: 90.00 90.00 120.00
Space group R3m (No. 160, hexagonal axes)
Unique sites:
Be1 0.0000 0.0000 0.0000 [3 per cell]
Fe1 0.0000 0.0000 0.5622 [3 per cell]
Fe2 0.0000 0.0000 0.7705 [3 per cell]
C1 0.0000 0.0000 0.1656 [3 per cell]

Properties
* energy above the most stable polymorph in this dataset: 0 meV/atom
* DOS(E_F): 5.8 states/eV/cell
* energy of formation: 0.45 eV/f.u.
* uncorrected energy: -7.355 eV/atom



(19)
## Ce2CoNi (PBE)

Data for an optimized crystal structure of Ce2CoNi.

abc: 6.807 5.152 11.003
angles: 90.00 127.12 90.00
Space group P2_1/c (No. 14)
Unique sites:
Ce1 0.016 0.140 0.346 [4 per cell]
Ce2 0.427 0.670 0.604 [4 per cell]
Co1 0.477 0.655 0.884 [4 per cell]
Ni1 0.129 0.162 0.122 [4 per cell]

Properties
* energy above the most stable polymorph in this dataset: 0 meV/atom
* DOS(E_F): 23.2 states/eV/cell
* energy of formation: -1.06 eV/f.u.
* uncorrected energy: -6.455 eV/atom



(20)
## SrTaMo (PBE)

Data for an optimized crystal structure of SrTaMo.

abc: 3.321 4.328 11.789
angles: 79.45 89.43 89.99
Space group P1 (No. 1)
Unique sites:
Sr1 0.000 0.000 0.000 [1 per cell]
Sr2 0.484 0.352 0.299 [1 per cell]
Ta1 0.014 0.635 0.742 [1 per cell]
Ta2 0.511 0.139 0.735 [1 per cell]
Mo1 0.462 0.736 0.541 [1 per cell]
Mo2 0.973 0.233 0.546 [1 per cell]

Properties
* energy above the most stable polymorph in this dataset: 0 meV/atom
* DOS(E_F): 5.9 states/eV/cell
* energy of formation: 1.53 eV/f.u.
* uncorrected energy: -7.610 eV/atom